No. 1
FeRh2Se: relaxed, PBEsol.

abc: 2.8669 4.2861 4.4896
angles: 90.00 90.00 90.00
Last column: nearest neighbours and their distance in Å.
Element x y z (fractional)
Fe 0.0000 0.0000 0.0000  4 Rh 2.58, 4 Se 2.66, 2 Fe 2.87
Rh 0.0000 0.5000 0.5000  4 Se 2.58, 6 Rh 2.66-2.87
Rh 0.5000 0.5000 0.0000  4 Fe 2.58, 6 Rh 2.66-2.87
Se 0.5000 0.0000 0.5000  4 Rh 2.58, 4 Fe 2.66, 2 Se 2.87

D(E_F)   0.990 states/eV/atom
Magnetic moment   3.26 μB per cell
Formation energy (no corrections)   0.185 eV/atom
Mass density   10.25 g/cm3

***

No. 2
YIr2Pt: relaxed, PBEsol.

abc: 4.9094 4.9094 4.9855
angles: 99.80 99.80 34.21
Last column: nearest neighbours and their distance in Å.
Element x y z (fractional)
Y 0.0000 0.0000 0.0000  4 Pt 2.88, 2 Y 2.89, 6 Ir 2.91-2.93
Ir 0.2459 0.2459 0.7175  4 Ir 2.62-2.89, 3 Pt 2.77-2.79, 3 Y 2.91-2.93
Ir 0.7541 0.7541 0.2825  4 Ir 2.62-2.89, 3 Pt 2.77-2.79, 3 Y 2.91-2.93
Pt 0.5000 0.5000 0.5000  6 Ir 2.77-2.79, 4 Y 2.88, 2 Pt 2.89

Distance to the lowest polymorph of the same formula   0.00 eV per formula unit
D(E_F)   0.842 states/eV/atom
ΔE_f   -0.297 eV per atom
Magnetic moment   0.00 μB per cell
Mass density   16.70 g/cm3

***

No. 3
CsGa5Hg4Se12: relaxed, PBEsol.

abc: 8.9077 8.9347 8.9647
angles: 107.22 108.01 107.44
Last column: nearest neighbours and their distance in Å.
Element x y z (fractional)
Cs 0.0000 0.0000 0.0000  12 Se 3.67-4.06
Ga 0.0310 0.1946 0.5624  4 Se 2.37-2.51
Ga 0.3428 0.9449 0.4909  4 Se 2.37-2.49
Ga 0.4954 0.3445 0.9541  4 Se 2.38-2.50
Ga 0.5710 0.0379 0.1965  4 Se 2.40-2.50
Ga 0.9538 0.5011 0.3542  4 Se 2.37-2.48
Hg 0.2043 0.5749 0.0291  4 Se 2.60-2.75
Hg 0.4157 0.6496 0.7279  4 Se 2.64-2.66
Hg 0.6467 0.7181 0.4073  4 Se 2.62-2.70
Hg 0.7211 0.4020 0.6445  4 Se 2.64-2.66
Se 0.0755 0.7101 0.2511  2 Ga 2.42-2.44
Se 0.1579 0.3787 0.4415  2 Ga 2.42-2.44, 1 Hg 2.66
Se 0.2430 0.0887 0.6988  3 Ga 2.48-2.51
Se 0.3116 0.8235 0.9395  1 Ga 2.40, 2 Hg 2.60-2.66
Se 0.3859 0.4243 0.1626  1 Ga 2.39, 2 Hg 2.62-2.63
Se 0.4349 0.1494 0.3717  2 Ga 2.43-2.44, 1 Hg 2.65
Se 0.5766 0.8955 0.6492  1 Ga 2.37, 2 Hg 2.65
Se 0.6561 0.5695 0.8980  1 Ga 2.38, 2 Hg 2.64-2.66
Se 0.7118 0.2451 0.0919  3 Ga 2.48-2.50
Se 0.7964 0.9447 0.2960  2 Ga 2.42-2.45, 1 Hg 2.70
Se 0.9007 0.6527 0.5839  1 Ga 2.37, 1 Hg 2.64
Se 0.9361 0.2781 0.7800  1 Ga 2.37, 1 Hg 2.65

Magnetic moment   0.00 μB per cell
Formation energy (no corrections)   -0.535 eV/atom
Mass density   6.33 g/cm3

***

No. 4
ZrAs2Pb: relaxed, PBEsol.

abc: 7.3862 7.3862 7.3862
angles: 151.91 150.29 41.35
Last column: nearest neighbours and their distance in Å.
Element x y z (fractional)
Zr 0.0000 0.0000 0.0000  6 As 2.71-2.74
As 0.5598 0.5598 0.0000  4 Zr 2.74
As 0.8532 0.3532 0.5000  2 Zr 2.71, 4 Pb 2.98
Pb 0.2488 0.7488 0.5000  6 As 2.98-3.23

D(E_F)   0.412 states/eV/atom
ΔE_f   -0.438 eV per atom
Magnetic moment   0.00 μB per cell
Mass density   7.93 g/cm3

***

No. 5
HoSi2Ir2: relaxed, PBEsol.

abc: 4.0761 4.0761 9.7804
angles: 90.00 90.00 90.00
Last column: nearest neighbours and their distance in Å.
Element x y z (fractional)
Ho 0.2500 0.2500 0.2472  8 Ir 3.10-3.20, 8 Si 3.12-3.16
Ho 0.7500 0.7500 0.7528  8 Ir 3.10-3.20, 8 Si 3.12-3.16
Si 0.2500 0.2500 0.6314  5 Ir 2.34-2.41
Si 0.2500 0.7500 0.0000  4 Ir 2.40
Si 0.7500 0.2500 0.0000  4 Ir 2.40
Si 0.7500 0.7500 0.3686  5 Ir 2.34-2.41
Ir 0.2500 0.2500 0.8704  5 Si 2.34-2.40
Ir 0.2500 0.7500 0.5000  4 Si 2.41
Ir 0.7500 0.2500 0.5000  4 Si 2.41
Ir 0.7500 0.7500 0.1296  5 Si 2.34-2.40

D(E_F)   0.474 states/eV/atom
Magnetic moment   0.00 μB per cell
Formation energy (no corrections)   -1.093 eV/atom
Mass density   12.38 g/cm3

***

No. 6
TaTl2Cl: relaxed, PBEsol.

abc: 5.8092 5.8092 5.2699
angles: 107.68 107.68 30.57
Last column: nearest neighbours and their distance in Å.
Element x y z (fractional)
Ta 0.0000 0.0000 0.0000  2 Cl 2.50
Tl 0.2511 0.2511 0.8418  4 Cl 3.06-3.27, 3 Ta 3.06-3.18, 3 Tl 3.06-3.40
Tl 0.4589 0.4589 0.4917  1 Cl 2.98, 4 Ta 2.99-3.17, 2 Tl 3.06
Cl 0.6708 0.6708 0.2632  2 Ta 2.50

Distance to the lowest polymorph of the same formula   0.11 eV per formula unit
D(E_F)   0.480 states/eV/atom
Magnetic moment   0.00 μB per cell
Formation energy (no corrections)   0.031 eV/atom
Mass density   12.09 g/cm3

***

No. 7
GaCuMoPb2: relaxed, PBEsol.

abc: 5.3120 5.3120 4.4006
angles: 90.00 90.00 90.00
Last column: nearest neighbours and their distance in Å.
Element x y z (fractional)
Ga 0.0000 0.0000 0.0000  2 Cu 2.20
Cu 0.0000 0.0000 0.5000  2 Ga 2.20
Mo 0.5000 0.5000 0.5000  8 Pb 3.45, 4 Cu 3.76
Pb 0.0000 0.5000 0.0000  2 Ga 2.66
Pb 0.5000 0.0000 0.0000  2 Ga 2.66

D(E_F)   0.572 states/eV/atom
ΔE_f   1.231 eV per atom
Magnetic moment   3.93 μB per cell
Mass density   8.61 g/cm3

***

No. 8
TlSbPd2: relaxed, PBEsol.

abc: 4.7230 4.7230 4.7230
angles: 60.00 60.00 60.00
Last column: nearest neighbours and their distance in Å.
Element x y z (fractional)
Tl 0.0000 0.0000 0.0000  8 Pd 2.89
Sb 0.5000 0.5000 0.5000  8 Pd 2.89
Pd 0.2500 0.2500 0.2500  4 Tl 2.89, 4 Sb 2.89
Pd 0.7500 0.7500 0.7500  4 Tl 2.89, 4 Sb 2.89

D(E_F)   0.429 states/eV/atom
Magnetic moment   0.00 μB per cell
Formation energy (no corrections)   -0.183 eV/atom
Mass density   12.01 g/cm3